(1)
## Sr2TlCdH (PBE)

Data for a relaxed structure of Sr2TlCdH.

Cell: 5.4333 5.4333 4.6280 Å, 90.00 90.00 90.00°
Element x y z (fractional)
Sr: 0.0000 0.5000 0.0000
Sr: 0.5000 0.0000 0.0000
Tl: 0.0000 0.0000 0.5000
Cd: 0.5000 0.5000 0.5000
H: 0.0000 0.0000 0.0000

## Properties
Excess energy over the best structure of this formula in the dataset ... 41.4 meV per atom
DOS(E_F) ... 0.537 states/eV per atom



(2)
## Sr2TlCdH (PBE)

Data for a relaxed structure of Sr2TlCdH.

Cell: 5.4379 5.4379 4.4620 Å, 90.00 90.00 90.00°
Element x y z (fractional)
Sr: 0.0000 0.5000 0.0000
Sr: 0.5000 0.0000 0.0000
Tl: 0.0000 0.0000 0.5000
Cd: 0.5000 0.5000 0.5000
H: 0.5000 0.5000 0.0000

## Properties
Excess energy over the best structure of this formula in the dataset ... 0.0 meV per atom
DOS(E_F) ... 0.468 states/eV per atom



(3)
## SrY2CdH (PBE)

Data for a relaxed structure of SrY2CdH.

Cell: 4.9374 4.9374 5.2484 Å, 90.00 90.00 90.00°
Element x y z (fractional)
Sr: 0.0000 0.0000 0.0000
Y: 0.0000 0.5000 0.5000
Y: 0.5000 0.0000 0.5000
Cd: 0.5000 0.5000 0.0000
H: 0.0000 0.0000 0.5000

## Properties
DOS(E_F) ... 1.139 states/eV per atom
Total DFT energy (no corrections) ... -3.89 eV/atom



| no. | calculated volume (Å³/atom) |
| --- | --- |
| 1 | 27.3 |
| 2 | 26.4 |
| 3 | 25.6 |